Here is crystalline HfAlCo2Bi at its relaxed geometry from Alexandria. Energies are from PBE-GGA.

Output
Fermi-level density of states (states/eV per atom): 1.196
Energy of formation from the pure elements (kJ per mole of atoms): 81.8
Electronic total energy (eV/atom): -5.5099

Unit cell a=4.344 b=5.241 c=4.344 alpha=90.00 beta=90.00 gamma=90.00
Element x y z (fractional)
Co  0.000  0.000  0.500
Co  0.500  0.000  0.000
Hf  0.500  0.500  0.500
Bi  0.000  0.500  0.000
Al  0.000  0.000  0.000

=====

Here is crystalline La2AlCoBi at its relaxed geometry from Alexandria. Energies are from PBE-GGA.

Output
Fermi-level density of states (states/eV per atom): 0.534
Energy of formation from the pure elements (kJ per mole of atoms): -56.8
Electronic total energy (eV/atom): -5.5060

Unit cell a=5.314 b=5.314 c=4.704 alpha=90.00 beta=90.00 gamma=90.00
Element x y z (fractional)
Al  0.000  0.000  0.500
Co  0.000  0.000  0.000
Bi  0.500  0.500  0.500
La  0.000  0.500  0.000
La  0.500  0.000  0.000

=====

Here is crystalline AlCoBi2Pt at its relaxed geometry from Alexandria. Energies are from PBE-GGA.

Output
Fermi-level density of states (states/eV per atom): 0.684
Energy of formation from the pure elements (kJ per mole of atoms): 88.0
Electronic total energy (eV/atom): -4.0184

Unit cell a=5.384 b=4.592 c=5.384 alpha=90.00 beta=90.00 gamma=90.00
Element x y z (fractional)
Co  0.500  0.500  0.500
Bi  0.000  0.000  0.500
Bi  0.500  0.000  0.000
Pt  0.000  0.500  0.000
Al  0.000  0.000  0.000

=====

Here is crystalline Sr2AlCoBi at its relaxed geometry from Alexandria. Energies are from PBE-GGA.

Output
Fermi-level density of states (states/eV per atom): 0.633
Energy of formation from the pure elements (kJ per mole of atoms): 60.3
Electronic total energy (eV/atom): -2.9937

Unit cell a=6.178 b=5.234 c=6.178 alpha=90.00 beta=90.00 gamma=90.00
Element x y z (fractional)
Sr  0.000  0.000  0.500
Sr  0.500  0.000  0.000
Co  0.500  0.500  0.500
Bi  0.000  0.500  0.000
Al  0.000  0.000  0.000

=====

Here is crystalline Al2CrBi at its relaxed geometry from Alexandria. Energies are from PBE-GGA.

Output
Fermi-level density of states (states/eV per atom): 0.557
Energy of formation from the pure elements (kJ per mole of atoms): 49.7
Electronic total energy (eV/atom): -4.7322

Unit cell a=7.874 b=7.874 c=6.244 alpha=50.92 beta=50.92 gamma=90.00
Element x y z (fractional)
Cr  0.500  0.500  0.000
Cr  0.250  0.750  0.500
Bi  0.000  0.000  0.000
Bi  0.750  0.250  0.500
Al  0.604  0.125  0.250
Al  0.146  0.625  0.250
Al  0.375  0.396  0.750
Al  0.875  0.854  0.750

=====

Here is crystalline AlCr2Bi2 at its relaxed geometry from Alexandria. Energies are from PBE-GGA.

Output
Fermi-level density of states (states/eV per atom): 0.411
Energy of formation from the pure elements (kJ per mole of atoms): 55.2
Electronic total energy (eV/atom): -5.5778

Unit cell a=8.506 b=8.506 c=3.307 alpha=90.00 beta=90.00 gamma=90.00
Element x y z (fractional)
Cr  0.133  0.633  0.500
Cr  0.633  0.867  0.500
Cr  0.867  0.367  0.500
Cr  0.367  0.133  0.500
Bi  0.337  0.837  0.000
Bi  0.837  0.663  0.000
Bi  0.663  0.163  0.000
Bi  0.163  0.337  0.000
Al  0.000  0.000  0.000
Al  0.500  0.500  0.000

=====

Here is crystalline AlCrBi3 at its relaxed geometry from Alexandria. Energies are from PBE-GGA.

Output
Fermi-level density of states (states/eV per atom): 0.857
Energy of formation from the pure elements (kJ per mole of atoms): 59.4
Electronic total energy (eV/atom): -4.3857

Unit cell a=5.277 b=5.277 c=5.277 alpha=90.00 beta=90.00 gamma=90.00
Element x y z (fractional)
Cr  0.000  0.000  0.000
Bi  0.000  0.500  0.000
Bi  0.000  0.000  0.500
Bi  0.500  0.000  0.000
Al  0.500  0.500  0.500

=====

Here is crystalline AlCr2Bi2 at its relaxed geometry from Alexandria. Energies are from PBE-GGA.

Output
Fermi-level density of states (states/eV per atom): 1.123
Energy of formation from the pure elements (kJ per mole of atoms): 54.0
Electronic total energy (eV/atom): -5.5905

Unit cell a=3.345 b=3.345 c=10.313 alpha=80.67 beta=80.67 gamma=90.00
Element x y z (fractional)
Cr  0.750  0.250  0.500
Cr  0.250  0.750  0.500
Bi  0.367  0.367  0.266
Bi  0.633  0.633  0.734
Al  0.000  0.000  0.000

=====

Here is crystalline AlCrBi3 at its relaxed geometry from Alexandria. Energies are from PBE-GGA.

Output
Fermi-level density of states (states/eV per atom): 1.554
Energy of formation from the pure elements (kJ per mole of atoms): 130.7
Electronic total energy (eV/atom): -3.6470

Unit cell a=5.373 b=5.373 c=5.373 alpha=90.00 beta=90.00 gamma=90.00
Element x y z (fractional)
Cr  0.500  0.500  0.500
Bi  0.000  0.500  0.000
Bi  0.000  0.000  0.500
Bi  0.500  0.000  0.000
Al  0.000  0.000  0.000

=====

Here is crystalline Al2CrFeBi at its relaxed geometry from Alexandria. Energies are from PBE-GGA.

Output
Fermi-level density of states (states/eV per atom): 1.045
Energy of formation from the pure elements (kJ per mole of atoms): 91.7
Electronic total energy (eV/atom): -4.9405

Unit cell a=4.432 b=4.912 c=4.432 alpha=90.00 beta=90.00 gamma=90.00
Element x y z (fractional)
Cr  0.500  0.500  0.500
Al  0.000  0.000  0.500
Al  0.500  0.000  0.000
Bi  0.000  0.500  0.000
Fe  0.000  0.000  0.000

=====

Here is crystalline Al2CrBiH at its relaxed geometry from Alexandria. Energies are from PBE-GGA.

Output
Fermi-level density of states (states/eV per atom): 0.393
Electronic total energy (eV/atom): -4.4635

Unit cell a=4.613 b=3.930 c=4.613 alpha=90.00 beta=90.00 gamma=90.00
Element x y z (fractional)
Cr  0.000  0.500  0.000
Bi  0.500  0.500  0.500
H  0.000  0.000  0.000
Al  0.000  0.000  0.500
Al  0.500  0.000  0.000

=====

Here is crystalline AlCr2BiN at its relaxed geometry from Alexandria. Energies are from PBE-GGA.

Output
Fermi-level density of states (states/eV per atom): 1.536
Formation energy (no corrections) (meV per atom): 1275
Electronic total energy (eV/atom): -5.7642

Unit cell a=4.782 b=3.537 c=4.782 alpha=90.00 beta=90.00 gamma=90.00
Element x y z (fractional)
Cr  0.000  0.000  0.500
Cr  0.500  0.000  0.000
N  0.000  0.500  0.000
Bi  0.500  0.500  0.500
Al  0.000  0.000  0.000

=====

Here is crystalline NbAlCrBi2 at its relaxed geometry from Alexandria. Energies are from PBE-GGA.

Output
Fermi-level density of states (states/eV per atom): 0.864
Energy of formation from the pure elements (kJ per mole of atoms): 94.5
Electronic total energy (eV/atom): -5.2599

Unit cell a=5.184 b=4.739 c=5.184 alpha=90.00 beta=90.00 gamma=90.00
Element x y z (fractional)
Cr  0.000  0.000  0.000
Nb  0.500  0.500  0.500
Bi  0.000  0.000  0.500
Bi  0.500  0.000  0.000
Al  0.000  0.500  0.000